Run w
This record from Alexandria via LeMat-Bulk describes Be2IrOs after structural relaxation. The functional is GGA-PBE.

Structure (POSCAR):
```
Be2IrOs
1.0
4.099 0.000 0.000
2.050 3.550 0.000
2.050 1.183 3.347
Be Ir Os
2 1 1
direct
0.000 0.000 0.000 Be
0.250 0.250 0.250 Be
0.500 0.500 0.500 Ir
0.750 0.750 0.750 Os
```

Symmetry   F-43m (216)


Run x
This record from Alexandria via LeMat-Bulk describes Be2IrOs after structural relaxation. The functional is GGA-PBE.

Structure (POSCAR):
```
Be2IrOs
1.0
-0.884 -7.255 1.570
1.208 -6.642 3.211
-1.351 -6.154 4.023
Be Ir Os
2 1 1
direct
0.999 0.999 0.999 Be
0.501 0.501 0.501 Be
0.250 0.250 0.250 Ir
0.750 0.750 0.750 Os
```

Symmetry   R-3m (166)


Ranked by calculated energy, most stable first: run x, run w.


Run w
This record from Alexandria via LeMat-Bulk describes Be2IrOs after structural relaxation. The functional is GGA-PBE.

Structure (POSCAR):
```
Be2IrOs
1.0
4.855 0.002 0.000
2.626 4.083 0.000
-3.741 -2.043 2.325
Be Ir Os
2 1 1
direct
0.000 0.000 0.000 Be
0.250 0.750 0.500 Be
0.500 0.500 0.000 Ir
0.750 0.250 0.500 Os
```

Symmetry   I-4m2 (119)


Run x
This record from Alexandria via LeMat-Bulk describes Be2IrOs after structural relaxation. The functional is GGA-PBE.

Structure (POSCAR):
```
Be2IrOs
1.0
8.131 -0.006 -0.003
7.689 2.646 -0.003
7.689 1.283 2.314
Be Ir Os
2 1 1
direct
0.000 0.000 0.000 Be
0.248 0.248 0.248 Be
0.506 0.506 0.506 Ir
0.746 0.746 0.746 Os
```

Symmetry   R3m (160)


Ranked by calculated energy, most stable first: run w, run x.


Run w
This record from Alexandria via LeMat-Bulk describes Be2IrOs after structural relaxation. The functional is GGA-PBE.

Structure (POSCAR):
```
Be2IrOs
1.0
-3.848 -1.630 -1.844
0.657 -0.480 -4.495
1.375 -1.440 4.111
Be Ir Os
2 1 1
direct
0.000 0.000 0.000 Be
0.500 0.500 0.000 Be
0.750 0.250 0.500 Ir
0.250 0.750 0.500 Os
```

Symmetry   Immm (71)


Run x
This record from Alexandria via LeMat-Bulk describes Be2IrOs after structural relaxation. The functional is GGA-PBE.

Structure (POSCAR):
```
Be2IrOs
1.0
2.790 0.000 0.000
0.000 2.790 0.000
0.000 0.000 5.710
Be Ir Os
2 1 1
direct
0.000 0.000 0.031 Be
0.500 0.500 0.220 Be
0.000 0.000 0.459 Ir
0.500 0.500 0.790 Os
```

Symmetry   P4mm (99)


Run y
This record from Alexandria via LeMat-Bulk describes Be2IrOs after structural relaxation. The functional is GGA-PBE.

Structure (POSCAR):
```
Be2IrOs
1.0
-0.754 2.205 -1.297
0.939 -1.969 -1.534
-6.824 -2.730 -0.674
Be Ir Os
2 1 1
direct
0.000 0.000 0.001 Be
0.000 0.000 0.499 Be
0.500 0.500 0.250 Ir
0.500 0.500 0.750 Os
```

Symmetry   Cmmm (65)


Ranked by calculated energy, most stable first: run x, run y, run w.


Run w
This record from Alexandria via LeMat-Bulk describes BeP3Ir after structural relaxation. The functional is GGA-PBE.

Structure (POSCAR):
```
BeP3Ir
1.0
4.633 0.000 0.000
0.000 4.633 0.000
0.000 0.000 4.633
P Ir Be
3 1 1
direct
0.000 0.500 0.000 P
0.000 0.000 0.500 P
0.500 0.000 0.000 P
0.000 0.000 0.000 Ir
0.500 0.500 0.500 Be
```

Symmetry   Pm-3m (221)


Run x
This record from Alexandria via LeMat-Bulk describes BeP3Ir after structural relaxation. The functional is GGA-PBE.

Structure (POSCAR):
```
BeP3Ir
1.0
4.127 0.000 0.000
0.000 4.127 0.000
0.000 0.000 4.127
P Ir Be
3 1 1
direct
0.000 0.500 0.000 P
0.000 0.000 0.500 P
0.500 0.000 0.000 P
0.500 0.500 0.500 Ir
0.000 0.000 0.000 Be
```

Symmetry   Pm-3m (221)


Ranked by calculated energy, most stable first: run x, run w.


Run w
This record from Alexandria via LeMat-Bulk describes Be3PIr after structural relaxation. The functional is GGA-PBE.

Structure (POSCAR):
```
Be3PIr
1.0
-1.358 2.780 2.521
2.035 -1.706 2.978
3.152 2.299 -0.837
P Ir Be
1 1 3
direct
0.000 0.000 0.000 P
0.500 0.500 0.500 Ir
0.000 0.500 0.000 Be
0.000 0.000 0.500 Be
0.500 0.000 0.000 Be
```

Symmetry   Pm-3m (221)


Run x
This record from Alexandria via LeMat-Bulk describes Be3PIr after structural relaxation. The functional is GGA-PBE.

Structure (POSCAR):
```
Be3PIr
1.0
4.213 0.000 0.000
0.000 4.213 0.000
0.000 0.000 4.213
P Ir Be
1 1 3
direct
0.500 0.500 0.500 P
0.000 0.000 0.000 Ir
0.000 0.500 0.000 Be
0.000 0.000 0.500 Be
0.500 0.000 0.000 Be
```

Symmetry   Pm-3m (221)


Ranked by calculated energy, most stable first: run x, run w.


Run w
This record from Alexandria via LeMat-Bulk describes BeP2IrS after structural relaxation. The functional is GGA-PBE.

Structure (POSCAR):
```
BeP2IrS
1.0
-0.925 3.888 1.943
-2.168 -2.135 3.239
4.435 -0.323 2.756
P S Ir Be
2 1 1 1
direct
0.000 0.500 0.000 P
0.500 0.000 0.000 P
0.000 0.000 0.500 S
0.000 0.000 0.000 Ir
0.500 0.500 0.500 Be
```

Symmetry   P4/mmm (123)


Run x
This record from Alexandria via LeMat-Bulk describes BeP2IrS after structural relaxation. The functional is GGA-PBE.

Structure (POSCAR):
```
BeP2IrS
1.0
4.068 0.000 0.000
0.000 4.068 0.000
0.000 0.000 4.297
P S Ir Be
2 1 1 1
direct
0.000 0.500 0.000 P
0.500 0.000 0.000 P
0.000 0.000 0.500 S
0.500 0.500 0.500 Ir
0.000 0.000 0.000 Be
```

Symmetry   P4/mmm (123)


Ranked by calculated energy, most stable first: run x, run w.


Run w
This record from Alexandria via LeMat-Bulk describes PaBeIr2 after structural relaxation. The functional is GGA-PBE.

Structure (POSCAR):
```
PaBeIr2
1.0
3.915 0.000 0.000
1.957 3.390 0.000
1.957 1.130 5.077
Be Pa Ir
1 1 2
direct
0.500 0.500 0.500 Be
0.000 0.000 0.000 Pa
0.779 0.779 0.663 Ir
0.221 0.221 0.337 Ir
```

Symmetry   R-3m (166)


Run x
This record from Alexandria via LeMat-Bulk describes PaBeIr2 after structural relaxation. The functional is GGA-PBE.

Structure (POSCAR):
```
PaBeIr2
1.0
3.659 0.000 0.031
0.000 5.506 -0.015
-0.029 -2.762 3.385
Pa Be Ir
1 1 2
direct
0.500 0.500 0.000 Pa
0.500 0.000 0.000 Be
0.000 0.795 0.590 Ir
0.000 0.205 0.410 Ir
```

Symmetry   P2/m (10)


Ranked by calculated energy, most stable first: run w, run x.


Run w
This record from Alexandria via LeMat-Bulk describes PaBeIr2 after structural relaxation. The functional is GGA-PBE.

Structure (POSCAR):
```
PaBeIr2
1.0
-1.346 2.670 0.166
-1.171 -0.755 2.650
5.518 2.584 3.174
Be Pa Ir
1 1 2
direct
0.500 0.500 0.000 Be
0.500 0.500 0.500 Pa
0.000 0.000 0.802 Ir
0.000 0.000 0.198 Ir
```

Symmetry   P4/mmm (123)


Run x
This record from Alexandria via LeMat-Bulk describes PaBeIr2 after structural relaxation. The functional is GGA-PBE.

Structure (POSCAR):
```
PaBeIr2
1.0
3.909 0.000 0.000
0.000 3.857 -0.941
0.000 0.110 8.823
Pa Be Ir
2 2 4
direct
0.000 0.865 0.731 Pa
0.000 0.135 0.269 Pa
0.500 0.570 0.140 Be
0.500 0.430 0.860 Be
0.000 0.500 0.000 Ir
0.500 0.000 0.000 Ir
0.500 0.700 0.400 Ir
0.500 0.300 0.600 Ir
```

Symmetry   Cmmm (65)


Ranked by calculated energy, most stable first: run x, run w.


Run w
This record from Alexandria via LeMat-Bulk describes Be3IrPb after structural relaxation. The functional is GGA-PBE.

Structure (POSCAR):
```
Be3IrPb
1.0
4.455 0.000 0.000
0.000 4.455 0.000
0.000 0.000 4.455
Pb Be Ir
1 3 1
direct
0.000 0.000 0.000 Pb
0.000 0.500 0.000 Be
0.000 0.000 0.500 Be
0.500 0.000 0.000 Be
0.500 0.500 0.500 Ir
```

Symmetry   Pm-3m (221)


Run x
This record from Alexandria via LeMat-Bulk describes Be3IrPb after structural relaxation. The functional is GGA-PBE.

Structure (POSCAR):
```
Be3IrPb
1.0
4.365 0.000 0.000
0.000 4.365 0.000
0.000 0.000 4.365
Pb Be Ir
1 3 1
direct
0.500 0.500 0.500 Pb
0.000 0.500 0.000 Be
0.000 0.000 0.500 Be
0.500 0.000 0.000 Be
0.000 0.000 0.000 Ir
```

Symmetry   Pm-3m (221)


Ranked by calculated energy, most stable first: run x, run w.


Run w
This record from Alexandria via LeMat-Bulk describes BeIr2Pd2 after structural relaxation. The functional is GGA-PBE.

Structure (POSCAR):
```
BeIr2Pd2
1.0
-0.747 -3.316 0.996
0.278 -1.074 -3.365
5.982 -3.333 -0.307
Be Ir Pd
1 2 2
direct
0.000 0.000 0.000 Be
0.407 0.407 0.185 Ir
0.593 0.593 0.815 Ir
0.750 0.250 0.500 Pd
0.250 0.750 0.500 Pd
```

Symmetry   I4/mmm (139)


Run x
This record from Alexandria via LeMat-Bulk describes BeIr2Pd2 after structural relaxation. The functional is GGA-PBE.

Structure (POSCAR):
```
BeIr2Pd2
1.0
-2.638 -5.205 0.804
2.625 -2.079 -4.846
3.289 -1.305 2.341
Be Ir Pd
2 4 4
direct
0.000 0.000 0.000 Be
0.500 0.500 0.000 Be
0.352 0.852 0.000 Ir
0.852 0.648 0.000 Ir
0.648 0.148 0.000 Ir
0.148 0.352 0.000 Ir
0.165 0.665 0.500 Pd
0.665 0.835 0.500 Pd
0.835 0.335 0.500 Pd
0.335 0.165 0.500 Pd
```

Symmetry   P4/mbm (127)


Ranked by calculated energy, most stable first: run x, run w.


Run w
This record from Alexandria via LeMat-Bulk describes BeIr3Pd after structural relaxation. The functional is GGA-PBE.

Structure (POSCAR):
```
BeIr3Pd
1.0
4.138 0.000 0.000
0.000 4.138 0.000
0.000 0.000 4.138
Be Ir Pd
1 3 1
direct
0.000 0.000 0.000 Be
0.000 0.500 0.000 Ir
0.000 0.000 0.500 Ir
0.500 0.000 0.000 Ir
0.500 0.500 0.500 Pd
```

Symmetry   Pm-3m (221)


Run x
This record from Alexandria via LeMat-Bulk describes BeIr3Pd after structural relaxation. The functional is GGA-PBE.

Structure (POSCAR):
```
BeIr3Pd
1.0
4.734 0.000 0.000
0.000 4.734 0.000
0.000 0.000 4.734
Be Ir Pd
1 3 1
direct
0.500 0.500 0.500 Be
0.000 0.500 0.000 Ir
0.000 0.000 0.500 Ir
0.500 0.000 0.000 Ir
0.000 0.000 0.000 Pd
```

Symmetry   Pm-3m (221)


Ranked by calculated energy, most stable first: run w, run x.


Run w
This record from Alexandria via LeMat-Bulk describes Be2IrPd after structural relaxation. The functional is GGA-PBE.

Structure (POSCAR):
```
Be2IrPd
1.0
-1.557 0.652 -5.753
-2.485 -5.456 0.055
-4.408 -1.307 -2.079
Be Ir Pd
4 2 2
direct
0.626 0.125 0.250 Be
0.124 0.625 0.250 Be
0.375 0.374 0.750 Be
0.875 0.876 0.750 Be
0.000 0.000 0.000 Ir
0.750 0.250 0.500 Ir
0.500 0.500 0.000 Pd
0.250 0.750 0.500 Pd
```

Symmetry   I-42d (122)


Run x
This record from Alexandria via LeMat-Bulk describes Be2IrPd after structural relaxation. The functional is GGA-PBE.

Structure (POSCAR):
```
Be2IrPd
1.0
1.861 0.419 3.491
-2.094 0.799 3.287
-0.412 -2.776 2.820
Be Ir Pd
2 1 1
direct
0.250 0.250 0.250 Be
0.750 0.750 0.750 Be
0.500 0.500 0.500 Ir
0.000 0.000 0.000 Pd
```

Symmetry   Fm-3m (225)


Ranked by calculated energy, most stable first: run x, run w.


Run w
This record from Alexandria via LeMat-Bulk describes Be2Ir2Pd after structural relaxation. The functional is GGA-PBE.

Structure (POSCAR):
```
Be2Ir2Pd
1.0
6.834 0.000 0.000
0.000 6.834 0.000
0.000 0.000 2.714
Be Ir Pd
4 4 2
direct
0.163 0.663 0.500 Be
0.663 0.837 0.500 Be
0.837 0.337 0.500 Be
0.337 0.163 0.500 Be
0.365 0.865 0.000 Ir
0.865 0.635 0.000 Ir
0.635 0.135 0.000 Ir
0.135 0.365 0.000 Ir
0.000 0.000 0.000 Pd
0.500 0.500 0.000 Pd
```

Symmetry   P4/mbm (127)


Run x
This record from Alexandria via LeMat-Bulk describes Be2Ir2Pd after structural relaxation. The functional is GGA-PBE.

Structure (POSCAR):
```
Be2Ir2Pd
1.0
6.421 0.000 0.000
0.000 6.421 0.000
0.000 0.000 2.897
Be Ir Pd
4 4 2
direct
0.371 0.871 0.000 Be
0.871 0.629 0.000 Be
0.629 0.129 0.000 Be
0.129 0.371 0.000 Be
0.164 0.664 0.500 Ir
0.664 0.836 0.500 Ir
0.836 0.336 0.500 Ir
0.336 0.164 0.500 Ir
0.000 0.000 0.000 Pd
0.500 0.500 0.000 Pd
```

Symmetry   P4/mbm (127)


Ranked by calculated energy, most stable first: run x, run w.